Compound: CaCO3
Source: Alexandria
Functional: GGA-PBEsol
Structure: relaxed

Calculated values
Uncorrected formation energy: -2.281 eV per atom
Crystal system: monoclinic
DFT total energy: -7.786 eV/atom
V: 12.43 Å³/atom
Fermi-level density of states: 0.0000 states/eV per atom

Cell lengths 7.1108, 7.1108, 9.3753 Å; angles 111.64, 111.64, 60.47 degrees
Sites, in units of the cell vectors:
Ca: 0.0000 0.5000 0.0000
Ca: 0.1522 0.6997 0.5015
Ca: 0.3003 0.8478 0.9985
Ca: 0.5000 0.0000 0.5000
Ca: 0.6997 0.1522 0.0015
Ca: 0.8478 0.3003 0.4985
C: 0.0886 0.2945 0.2658
C: 0.2945 0.0886 0.7658
C: 0.4512 0.5488 0.2500
C: 0.5488 0.4512 0.7500
C: 0.7055 0.9114 0.2342
C: 0.9114 0.7055 0.7342
O: 0.0444 0.1568 0.1372
O: 0.0821 0.4746 0.2569
O: 0.1390 0.2585 0.4039
O: 0.1568 0.0444 0.6372
O: 0.2585 0.1390 0.9039
O: 0.3184 0.5905 0.1160
O: 0.3681 0.6319 0.7500
O: 0.4095 0.6816 0.3840
O: 0.4746 0.0821 0.7569
O: 0.5254 0.9179 0.2431
O: 0.5905 0.3184 0.6160
O: 0.6319 0.3681 0.2500
O: 0.6816 0.4095 0.8840
O: 0.7415 0.8610 0.0961
O: 0.8432 0.9556 0.3628
O: 0.8610 0.7415 0.5961
O: 0.9179 0.5254 0.7431
O: 0.9556 0.8432 0.8628